This record from Alexandria via LeMat-Bulk describes crystalline TcAgH2F8 at its relaxed geometry. The functional is PBE.

Values from the calculation:
Mass density   3.58 g/cm³
Energy   -4.627 eV/atom
Crystal system   triclinic

The structure in CIF format:
```
data_TcAgH2F8
_chemical_formula_sum 'Tc1 Ag1 H2 F8'
_space_group_name_H-M_alt 'P -1'
_space_group_IT_number 2
_cell_length_a 4.842
_cell_length_b 4.952
_cell_length_c 7.348
_cell_angle_alpha 98.24
_cell_angle_beta 92.61
_cell_angle_gamma 105.94
loop_
_space_group_symop_operation_xyz
'x,y,z'
'-x,-y,-z'
loop_
_atom_site_label
_atom_site_fract_x
_atom_site_fract_y
_atom_site_fract_z
Tc1 0.000 0.000 0.000
Ag1 0.000 0.000 0.500
H1 0.288 0.542 0.333
F1 0.207 0.187 0.818
F2 0.240 0.762 0.998
F3 0.242 0.259 0.211
F4 0.319 0.702 0.434
```

This record from Alexandria via LeMat-Bulk describes crystalline CaPrPu2P4 at its relaxed geometry. The functional is PBE.

Values from the calculation:
Mass density   6.89 g/cm³
E_form   -111.2 kJ/mol of atoms
Energy   -8.288 eV/atom
Crystal system   tetragonal

The structure in CIF format:
```
data_CaPrPu2P4
_chemical_formula_sum 'Ca2 Pr2 Pu4 P8'
_space_group_name_H-M_alt 'I 4/m m m'
_space_group_IT_number 139
_space_group_name_Hall '-I 4 2'
_cell_length_a 5.777
_cell_length_b 5.777
_cell_length_c 11.459
_cell_angle_alpha 90.00
_cell_angle_beta 90.00
_cell_angle_gamma 90.00
loop_
_atom_site_label
_atom_site_fract_x
_atom_site_fract_y
_atom_site_fract_z
Ca1 0.000 0.000 0.000
Pr1 0.000 0.000 0.500
Pu1 0.000 0.500 0.250
P1 0.000 0.000 0.251
P2 0.000 0.500 0.000
```